Density functional theory data (PBE) for BeCrTc2 after structural relaxation.

Total moment: 0.0 μB/f.u.
DFT formation energy: -0.01 eV per atom

Lattice parameters (Å, degrees): 2.999 2.999 5.489 90.00 90.00 90.00
Space group P4mm (No. 99)
Asymmetric unit:
Be 0.000 0.000 0.000 [1 per cell]
Cr 0.500 0.500 0.215 [1 per cell]
Tc 0.000 0.000 0.463 [1 per cell]
Tc 0.500 0.500 0.782 [1 per cell]


Density functional theory data (PBE) for NaTaN2 after structural relaxation.

Total moment: 0.0 μB/f.u.
Formation energy from raw total energies: 0.2535 eV/atom

Lattice parameters (Å, degrees): 5.426 5.426 5.426 90.00 90.00 90.00
Space group Fm-3m (No. 225)
Asymmetric unit:
Na 0.000 0.000 0.000 [4 per cell]
Ta 0.000 0.000 0.500 [4 per cell]
N 0.250 0.250 0.250 [8 per cell]


Density functional theory data (PBE) for MnCoCuW2 after structural relaxation.

Total moment: 0.0 μB/f.u.
DFT formation energy: 1.49 eV per atom

Lattice parameters (Å, degrees): 4.416 4.416 4.118 90.00 90.00 90.00
Space group P4/mmm (No. 123)
Asymmetric unit:
Mn 0.000 0.000 0.000 [1 per cell]
Co 0.000 0.000 0.500 [1 per cell]
Cu 0.500 0.500 0.000 [1 per cell]
W 0.000 0.500 0.500 [2 per cell]


Density functional theory data (PBE) for RbMg5 after structural relaxation.

Total moment: 0.0 μB/f.u.
ΔE to the lowest computed polymorph: 38 kJ/mol of formula units
DFT formation energy: 0.20 eV per atom

Lattice parameters (Å, degrees): 8.895 8.895 8.895 90.00 90.00 90.00
Space group F-43m (No. 216)
Asymmetric unit:
Rb 0.000 0.000 0.000 [4 per cell]
Mg 0.124 0.124 0.624 [16 per cell]
Mg 0.250 0.250 0.250 [4 per cell]


Density functional theory data (PBE) for Ce2Sm3DyTe6 after structural relaxation.

Total moment: 2.5 μB/f.u.
Formation energy from raw total energies: -1.3664 eV/atom

Lattice parameters (Å, degrees): 19.395 4.418 8.948 90.00 103.70 90.00
Space group C2/m (No. 12)
Asymmetric unit:
Ce 0.167 0.000 0.336 [4 per cell]
Sm 0.000 0.500 0.500 [2 per cell]
Sm 0.168 0.000 0.834 [4 per cell]
Dy 0.000 0.500 0.000 [2 per cell]
Te 0.001 0.000 0.756 [4 per cell]
Te 0.164 0.500 0.081 [4 per cell]
Te 0.165 0.500 0.586 [4 per cell]


Density functional theory data (PBE) for InCuGe2 after structural relaxation.

Total moment: 0.0 μB/f.u.
DFT formation energy: 0.19 eV per atom

Lattice parameters (Å, degrees): 3.0748 3.0748 28.8389 90.00 90.00 120.00
Space group R-3m (No. 166, hexagonal axes)
Asymmetric unit:
In 0.0000 0.0000 0.0000 [3 per cell]
Cu 0.0000 0.0000 0.5000 [3 per cell]
Ge 0.0000 0.0000 0.1015 [6 per cell]


Density functional theory data (PBE) for Ac6PmY after structural relaxation.

Total moment: 0.0 μB/f.u.
ΔE to the lowest computed polymorph: 0 kJ/mol of formula units
DFT formation energy: 0.03 eV per atom

Lattice parameters (Å, degrees): 5.510 5.510 11.025 90.00 90.00 90.00
Space group P4/mmm (No. 123)
Asymmetric unit:
Ac 0.000 0.000 0.000 [1 per cell]
Ac 0.000 0.000 0.500 [1 per cell]
Ac 0.000 0.500 0.249 [4 per cell]
Pm 0.500 0.500 0.500 [1 per cell]
Y 0.500 0.500 0.000 [1 per cell]


Density functional theory data (PBE) for Ho8TeAs3Se4 after structural relaxation.

Total moment: 0.0 μB/f.u.
Formation energy from raw total energies: -1.6344 eV/atom

Lattice parameters (Å, degrees): 8.2459 8.2459 20.0578 90.00 90.00 120.00
Space group R-3m (No. 166, hexagonal axes)
Asymmetric unit:
Ho 0.0000 0.0000 0.2456 [6 per cell]
Ho 0.0182 0.5091 0.7505 [18 per cell]
Te 0.0000 0.0000 0.5000 [3 per cell]
As 0.0000 0.5000 0.5000 [9 per cell]
Se 0.0000 0.0000 0.0000 [3 per cell]
Se 0.0000 0.5000 0.0000 [9 per cell]